Arrangement one

Material: Ho4CI2Br2Cl
Method: DFT, PBE
State: relaxed

Lattice parameters (Å, degrees): 18.5455 3.8213 7.9949 90.00 101.25 90.00
Space group C2/m (No. 12)
Symmetry-distinct sites (fractional):
Ho: 0.0022 0.0000 0.2958 x4
Ho: 0.1303 0.5000 0.5628 x4
C: 0.0000 0.5000 0.5000 x2
I: 0.1636 0.0000 0.8573 x4
Br: 0.1642 0.0000 0.3239 x4
Cl: 0.0000 0.5000 0.0000 x2

- V (Å³ per cell) = 555.7



Arrangement two

Material: Ho4CI2Br2Cl
Method: DFT, PBE
State: relaxed

Lattice parameters (Å, degrees): 18.5276 3.8145 7.9799 90.00 101.35 90.00
Space group C2/m (No. 12)
Symmetry-distinct sites (fractional):
Ho: 0.0016 0.0000 0.2953 x4
Ho: 0.1311 0.5000 0.5683 x4
C: 0.0000 0.5000 0.5000 x2
I: 0.1712 0.0000 0.3046 x4
Br: 0.1546 0.0000 0.8368 x4
Cl: 0.0000 0.5000 0.0000 x2

- V (Å³ per cell) = 552.9



arrangement two is the most stable structure; the next one sits 13 meV/atom above it.



Arrangement one

Material: Nd2Ho2CI2Br2Cl
Method: DFT, PBE
State: relaxed

Lattice parameters (Å, degrees): 18.6701 3.8690 8.1756 90.00 101.89 90.00
Space group C2/m (No. 12)
Symmetry-distinct sites (fractional):
Nd: 0.1376 0.0000 0.0732 x4
Ho: 0.0016 0.5000 0.7980 x4
C: 0.0000 0.0000 0.0000 x2
I: 0.1691 0.5000 0.7931 x4
Br: 0.1516 0.5000 0.3495 x4
Cl: 0.0000 0.0000 0.5000 x2

- V (Å³ per cell) = 577.9



Arrangement two

Material: Nd2Ho2CI2Br2Cl
Method: DFT, PBE
State: relaxed

Lattice parameters (Å, degrees): 18.6509 3.9295 8.2374 90.00 100.88 90.00
Space group C2/m (No. 12)
Symmetry-distinct sites (fractional):
Nd: 0.0033 0.0000 0.2887 x4
Ho: 0.1305 0.5000 0.5626 x4
C: 0.0000 0.5000 0.5000 x2
I: 0.1684 0.0000 0.8462 x4
Br: 0.1710 0.0000 0.3404 x4
Cl: 0.0000 0.5000 0.0000 x2

- V (Å³ per cell) = 592.9



Arrangement three

Material: Nd2Ho2CI2Br2Cl
Method: DFT, PBE
State: relaxed

Lattice parameters (Å, degrees): 18.3223 3.8762 8.2115 90.00 101.83 90.00
Space group C2/m (No. 12)
Symmetry-distinct sites (fractional):
Nd: 0.1404 0.0000 0.0671 x4
Ho: 0.0022 0.5000 0.7988 x4
C: 0.0000 0.0000 0.0000 x2
I: 0.1632 0.5000 0.3684 x4
Br: 0.1649 0.5000 0.8085 x4
Cl: 0.0000 0.0000 0.5000 x2

- V (Å³ per cell) = 570.8



Arrangement four

Material: Nd2Ho2CI2Br2Cl
Method: DFT, PBE
State: relaxed

Lattice parameters (Å, degrees): 18.9361 3.9263 8.1817 90.00 102.34 90.00
Space group C2/m (No. 12)
Symmetry-distinct sites (fractional):
Nd: 0.9999 0.0000 0.2138 x4
Ho: 0.1297 0.5000 0.0682 x4
C: 0.0000 0.5000 0.0000 x2
I: 0.1728 0.0000 0.8185 x4
Br: 0.1620 0.0000 0.3283 x4
Cl: 0.0000 0.5000 0.5000 x2

- V (Å³ per cell) = 594.2



arrangement four is the most stable structure; the next one sits 8 meV/atom above it.



Arrangement one

Material: Nd2Ho2CIBr2Cl2
Method: DFT, PBE
State: relaxed

Lattice parameters (Å, degrees): 17.8973 3.8597 8.4306 90.00 104.51 90.00
Space group C2/m (No. 12)
Symmetry-distinct sites (fractional):
Nd: 0.1449 0.0000 0.0806 x4
Ho: 0.0005 0.5000 0.1921 x4
C: 0.0000 0.0000 0.0000 x2
I: 0.0000 0.0000 0.5000 x2
Br: 0.1660 0.5000 0.8222 x4
Cl: 0.1560 0.5000 0.3312 x4

- V (Å³ per cell) = 563.8



Arrangement two

Material: Nd2Ho2CIBr2Cl2
Method: DFT, PBE
State: relaxed

Lattice parameters (Å, degrees): 17.3503 3.9094 8.8668 90.00 103.50 90.00
Space group C2/m (No. 12)
Symmetry-distinct sites (fractional):
Nd: 0.0025 0.0000 0.3056 x4
Ho: 0.1414 0.5000 0.5691 x4
C: 0.0000 0.5000 0.5000 x2
I: 0.0000 0.5000 0.0000 x2
Br: 0.1746 0.0000 0.8086 x4
Cl: 0.1750 0.0000 0.3749 x4

- V (Å³ per cell) = 584.8



arrangement two is the most stable structure; the next one sits 6 meV/atom above it.



Arrangement one

Material: Nd2Ho2CIBr2Cl2
Method: DFT, PBE
State: relaxed

Lattice parameters (Å, degrees): 17.8478 3.9069 8.8380 90.00 103.41 90.00
Space group C2/m (No. 12)
Symmetry-distinct sites (fractional):
Nd: 0.0004 0.0000 0.1963 x4
Ho: 0.1374 0.5000 0.0689 x4
C: 0.0000 0.5000 0.0000 x2
I: 0.0000 0.5000 0.5000 x2
Br: 0.1737 0.0000 0.8552 x4
Cl: 0.1652 0.0000 0.2878 x4

- V (Å³ per cell) = 599.5



Arrangement two

Material: Nd2Ho2CIBr2Cl2
Method: DFT, PBE
State: relaxed

Lattice parameters (Å, degrees): 17.4736 3.8723 8.4847 90.00 104.92 90.00
Space group C2/m (No. 12)
Symmetry-distinct sites (fractional):
Nd: 0.1482 0.0000 0.0779 x4
Ho: 0.9995 0.5000 0.1910 x4
C: 0.0000 0.0000 0.0000 x2
I: 0.0000 0.0000 0.5000 x2
Br: 0.1668 0.5000 0.3473 x4
Cl: 0.1646 0.5000 0.8377 x4

- V (Å³ per cell) = 554.7



arrangement one is the most stable structure; the next one sits 7 meV/atom above it.



Arrangement one

Material: Ho2Sc2CI2Br2Cl
Method: DFT, PBE
State: relaxed

Lattice parameters (Å, degrees): 19.8904 3.7314 7.8195 90.00 101.29 90.00
Space group C2/m (No. 12)
Symmetry-distinct sites (fractional):
Ho: 0.9997 0.0000 0.2091 x4
Sc: 0.1144 0.5000 0.0626 x4
C: 0.0000 0.5000 0.0000 x2
I: 0.1583 0.0000 0.8211 x4
Br: 0.1473 0.0000 0.3205 x4
Cl: 0.0000 0.5000 0.5000 x2

- V (Å³ per cell) = 569.1



Arrangement two

Material: Ho2Sc2CI2Br2Cl
Method: DFT, PBE
State: relaxed

Lattice parameters (Å, degrees): 18.3404 3.7475 7.8345 90.00 101.04 90.00
Space group C2/m (No. 12)
Symmetry-distinct sites (fractional):
Ho: 0.1297 0.0000 0.0695 x4
Sc: 0.0020 0.5000 0.8072 x4
C: 0.0000 0.0000 0.0000 x2
I: 0.1684 0.5000 0.8001 x4
Br: 0.1486 0.5000 0.3408 x4
Cl: 0.0000 0.0000 0.5000 x2

- V (Å³ per cell) = 528.5



arrangement one is the most stable structure; the next one sits 62 meV/atom above it.



Arrangement one

Material: Sm2Ho2CI2Br2Cl
Method: DFT, PBE
State: relaxed

Lattice parameters (Å, degrees): 18.8166 3.8892 8.0994 90.00 101.93 90.00
Space group C2/m (No. 12)
Symmetry-distinct sites (fractional):
Sm: 0.0008 0.0000 0.2887 x4
Ho: 0.1299 0.5000 0.5692 x4
C: 0.0000 0.5000 0.5000 x2
I: 0.1725 0.0000 0.3145 x4
Br: 0.1592 0.0000 0.8318 x4
Cl: 0.0000 0.5000 0.0000 x2

- V (Å³ per cell) = 579.9



Arrangement two

Material: Sm2Ho2CI2Br2Cl
Method: DFT, PBE
State: relaxed

Lattice parameters (Å, degrees): 18.7303 3.8949 8.1265 90.00 100.81 90.00
Space group C2/m (No. 12)
Symmetry-distinct sites (fractional):
Sm: 0.0035 0.0000 0.2904 x4
Ho: 0.1294 0.5000 0.5637 x4
C: 0.0000 0.5000 0.5000 x2
I: 0.1653 0.0000 0.8517 x4
Br: 0.1687 0.0000 0.3367 x4
Cl: 0.0000 0.5000 0.0000 x2

- V (Å³ per cell) = 582.3



Arrangement three

Material: Sm2Ho2CI2Br2Cl
Method: DFT, PBE
State: relaxed

Lattice parameters (Å, degrees): 18.3356 3.8633 8.1371 90.00 101.91 90.00
Space group C2/m (No. 12)
Symmetry-distinct sites (fractional):
Sm: 0.1379 0.0000 0.0695 x4
Ho: 0.0027 0.5000 0.7984 x4
C: 0.0000 0.0000 0.0000 x2
I: 0.1632 0.5000 0.3690 x4
Br: 0.1663 0.5000 0.8180 x4
Cl: 0.0000 0.0000 0.5000 x2

- V (Å³ per cell) = 564.0



arrangement one is the most stable structure; the next one sits 9 meV/atom above it.



Arrangement one

Material: Y2Ho2CI2Br2Cl
Method: DFT, PBE
State: relaxed

Lattice parameters (Å, degrees): 18.6486 3.8471 8.0060 90.00 102.26 90.00
Space group C2/m (No. 12)
Symmetry-distinct sites (fractional):
Y: 0.9996 0.0000 0.2069 x4
Ho: 0.1307 0.5000 0.0701 x4
C: 0.0000 0.5000 0.0000 x2
I: 0.1704 0.0000 0.8092 x4
Br: 0.1577 0.0000 0.3381 x4
Cl: 0.0000 0.5000 0.5000 x2

- V (Å³ per cell) = 561.3



Arrangement two

Material: Y2Ho2CI2Br2Cl
Method: DFT, PBE
State: relaxed

Lattice parameters (Å, degrees): 18.5959 3.8350 8.0112 90.00 100.99 90.00
Space group C2/m (No. 12)
Symmetry-distinct sites (fractional):
Y: 0.1311 0.0000 0.0602 x4
Ho: 0.0017 0.5000 0.7959 x4
C: 0.0000 0.0000 0.0000 x2
I: 0.1640 0.5000 0.3550 x4
Br: 0.1635 0.5000 0.8182 x4
Cl: 0.0000 0.0000 0.5000 x2

- V (Å³ per cell) = 560.9



arrangement one is the most stable structure; the next one sits 16 meV/atom above it.



Arrangement one

Material: Y2Ho2CI2Br2Cl
Method: DFT, PBE
State: relaxed

Lattice parameters (Å, degrees): 18.5195 3.8304 8.0075 90.00 101.77 90.00
Space group C2/m (No. 12)
Symmetry-distinct sites (fractional):
Y: 0.1329 0.0000 0.0705 x4
Ho: 0.0013 0.5000 0.7954 x4
C: 0.0000 0.0000 0.0000 x2
I: 0.1716 0.5000 0.8043 x4
Br: 0.1554 0.5000 0.3410 x4
Cl: 0.0000 0.0000 0.5000 x2

- V (Å³ per cell) = 556.1



Arrangement two

Material: Y2Ho2CI2Br2Cl
Method: DFT, PBE
State: relaxed

Lattice parameters (Å, degrees): 18.6860 3.8455 8.0295 90.00 100.92 90.00
Space group C2/m (No. 12)
Symmetry-distinct sites (fractional):
Y: 0.0017 0.0000 0.2939 x4
Ho: 0.1292 0.5000 0.5588 x4
C: 0.0000 0.5000 0.5000 x2
I: 0.1647 0.0000 0.8513 x4
Br: 0.1639 0.0000 0.3227 x4
Cl: 0.0000 0.5000 0.0000 x2

- V (Å³ per cell) = 566.5



arrangement one is the most stable structure; the next one sits 9 meV/atom above it.



Arrangement one

Material: La2Ho2CBr4Cl
Method: DFT, PBE
State: relaxed

Lattice parameters (Å, degrees): 18.2392 3.8263 8.0962 90.00 104.98 90.00
Space group C2/m (No. 12)
Symmetry-distinct sites (fractional):
La: 0.1466 0.0000 0.0882 x4
Ho: 0.0005 0.5000 0.7961 x4
C: 0.0000 0.0000 0.0000 x2
Br: 0.1575 0.5000 0.3763 x4
Br: 0.1628 0.5000 0.8090 x4
Cl: 0.0000 0.0000 0.5000 x2

- V (Å³ per cell) = 545.8



Arrangement two

Material: La2Ho2CBr4Cl
Method: DFT, PBE
State: relaxed

Lattice parameters (Å, degrees): 18.2543 3.9130 8.3538 90.00 102.57 90.00
Space group C2/m (No. 12)
Symmetry-distinct sites (fractional):
La: 0.0020 0.0000 0.2848 x4
Ho: 0.1345 0.5000 0.5712 x4
C: 0.0000 0.5000 0.5000 x2
Br: 0.1690 0.0000 0.8258 x4
Br: 0.1753 0.0000 0.3507 x4
Cl: 0.0000 0.5000 0.0000 x2

- V (Å³ per cell) = 582.4



arrangement two is the most stable structure; the next one sits 12 meV/atom above it.